The following is a GGA-PBE calculation of an optimized crystal structure of Er8Cu2Pt, from the Alexandria database.

extended XYZ file:
```
11
Lattice="4.1253 -6.5007 0.0000 4.1253 6.5007 0.0000 -2.0258 0.0000 5.4284" Properties=species:S:1:pos:R:3 pbc="T T T"
Er 0.0000 0.0000 0.0000
Er 0.0568 1.6516 3.1933
Er 2.6332 2.6866 1.0433
Er 0.0568 -1.6516 3.1933
Er 3.1722 1.6497 4.4027
Er 2.6332 -2.6866 1.0433
Er 3.1722 -1.6497 4.4027
Er 5.2682 0.0000 2.0572
Cu 1.6057 3.9531 3.7175
Cu 1.6057 -3.9531 3.7175
Pt 2.9613 0.0000 0.1294
```

Magnetization (μB/cell): 0.00
N(E_F) (states/eV/atom): 1.341
Energy relative to the lowest polymorph listed for this composition (eV per atom): 0.117
Crystal system: monoclinic
SG: Cm
E_tot (eV/cell): -53.080
Theoretical density (g cm⁻³): 9.47